Entry 1:
Computed, not measured: a relaxed structure of Nb2GeSe at the PBE level of DFT.

Its polymorph energy (0 for the lowest one) is 714 meV per atom.

```
data_Nb2GeSe
_cell_length_a 5.7221
_cell_length_b 5.7221
_cell_length_c 7.2782
_cell_angle_alpha 66.85
_cell_angle_beta 66.85
_cell_angle_gamma 90.00
_symmetry_space_group_name_H-M 'P 1'
_symmetry_Int_Tables_number 1
loop_
_symmetry_equiv_pos_as_xyz
'x,y,z'
loop_
_atom_site_label
_atom_site_fract_x
_atom_site_fract_y
_atom_site_fract_z
Nb1 0.6247 0.1250 0.2500
Nb2 0.1253 0.6250 0.2500
Nb3 0.3750 0.3753 0.7500
Nb4 0.8750 0.8747 0.7500
Ge1 0.5000 0.5000 0.0000
Ge2 0.2500 0.7500 0.5000
Se1 0.0000 0.0000 0.0000
Se2 0.7500 0.2500 0.5000
```

Entry 2:
Computed, not measured: a relaxed structure of NbGeSe2 at the PBE level of DFT.

```
data_NbGeSe2
_cell_length_a 4.7163
_cell_length_b 4.7163
_cell_length_c 4.7163
_cell_angle_alpha 60.00
_cell_angle_beta 60.00
_cell_angle_gamma 60.00
_symmetry_space_group_name_H-M 'P 1'
_symmetry_Int_Tables_number 1
loop_
_symmetry_equiv_pos_as_xyz
'x,y,z'
loop_
_atom_site_label
_atom_site_fract_x
_atom_site_fract_y
_atom_site_fract_z
Nb1 0.5000 0.5000 0.5000
Ge1 0.0000 0.0000 0.0000
Se1 0.2500 0.2500 0.2500
Se2 0.7500 0.7500 0.7500
```

Entry 3:
Computed, not measured: a relaxed structure of Nb2GeSe at the PBE level of DFT.

Its polymorph energy (0 for the lowest one) is 0 meV per atom.

```
data_Nb2GeSe
_cell_length_a 4.5799
_cell_length_b 4.5799
_cell_length_c 4.5799
_cell_angle_alpha 60.00
_cell_angle_beta 60.00
_cell_angle_gamma 60.00
_symmetry_space_group_name_H-M 'P 1'
_symmetry_Int_Tables_number 1
loop_
_symmetry_equiv_pos_as_xyz
'x,y,z'
loop_
_atom_site_label
_atom_site_fract_x
_atom_site_fract_y
_atom_site_fract_z
Nb1 0.2500 0.2500 0.2500
Nb2 0.7500 0.7500 0.7500
Ge1 0.0000 0.0000 0.0000
Se1 0.5000 0.5000 0.5000
```

Entry 4:
Computed, not measured: a relaxed structure of NbGe2Se at the PBE level of DFT.

Its polymorph energy (0 for the lowest one) is 0 meV per atom.

```
data_NbGe2Se
_cell_length_a 4.7019
_cell_length_b 4.7019
_cell_length_c 4.7019
_cell_angle_alpha 60.00
_cell_angle_beta 60.00
_cell_angle_gamma 60.00
_symmetry_space_group_name_H-M 'P 1'
_symmetry_Int_Tables_number 1
loop_
_symmetry_equiv_pos_as_xyz
'x,y,z'
loop_
_atom_site_label
_atom_site_fract_x
_atom_site_fract_y
_atom_site_fract_z
Nb1 0.5000 0.5000 0.5000
Ge1 0.2500 0.2500 0.2500
Ge2 0.7500 0.7500 0.7500
Se1 0.0000 0.0000 0.0000
```

Entry 5:
Computed, not measured: a relaxed structure of Nb2Ge2Se at the PBE level of DFT.

Its polymorph energy (0 for the lowest one) is 420 meV per atom.

```
data_Nb2Ge2Se
_cell_length_a 4.8962
_cell_length_b 4.8962
_cell_length_c 5.4046
_cell_angle_alpha 63.07
_cell_angle_beta 63.07
_cell_angle_gamma 90.00
_symmetry_space_group_name_H-M 'P 1'
_symmetry_Int_Tables_number 1
loop_
_symmetry_equiv_pos_as_xyz
'x,y,z'
loop_
_atom_site_label
_atom_site_fract_x
_atom_site_fract_y
_atom_site_fract_z
Nb1 0.7500 0.2500 0.5000
Nb2 0.2500 0.7500 0.5000
Ge1 0.3543 0.3543 0.2915
Ge2 0.6457 0.6457 0.7085
Se1 0.0000 0.0000 0.0000
```

Entry 6:
Computed, not measured: a relaxed structure of NbGeSe3 at the PBE level of DFT.

Its polymorph energy (0 for the lowest one) is 1164 meV per atom.

```
data_NbGeSe3
_cell_length_a 4.9003
_cell_length_b 4.9003
_cell_length_c 4.9003
_cell_angle_alpha 90.00
_cell_angle_beta 90.00
_cell_angle_gamma 90.00
_symmetry_space_group_name_H-M 'P 1'
_symmetry_Int_Tables_number 1
loop_
_symmetry_equiv_pos_as_xyz
'x,y,z'
loop_
_atom_site_label
_atom_site_fract_x
_atom_site_fract_y
_atom_site_fract_z
Nb1 0.5000 0.5000 0.5000
Ge1 0.0000 0.0000 0.0000
Se1 0.0000 0.5000 0.0000
Se2 0.0000 0.0000 0.5000
Se3 0.5000 0.0000 0.0000
```

Entry 7:
Computed, not measured: a relaxed structure of Nb2Ge2Se7 at the PBE level of DFT.

```
data_Nb2Ge2Se7
_cell_length_a 8.2694
_cell_length_b 6.6125
_cell_length_c 6.6125
_cell_angle_alpha 117.14
_cell_angle_beta 96.79
_cell_angle_gamma 96.79
_symmetry_space_group_name_H-M 'P 1'
_symmetry_Int_Tables_number 1
loop_
_symmetry_equiv_pos_as_xyz
'x,y,z'
loop_
_atom_site_label
_atom_site_fract_x
_atom_site_fract_y
_atom_site_fract_z
Nb1 0.5000 0.3593 0.6407
Nb2 0.5000 0.6407 0.3593
Ge1 0.1442 0.6970 0.6970
Ge2 0.8558 0.3030 0.3030
Se1 0.3198 0.5597 0.9351
Se2 0.6802 0.0649 0.4403
Se3 0.6802 0.4403 0.0649
Se4 0.3198 0.9351 0.5597
Se5 0.2839 0.3175 0.3175
Se6 0.0000 0.0000 0.0000
Se7 0.7161 0.6825 0.6825
```

Entry 8:
Computed, not measured: a relaxed structure of NbGeSe3 at the PBE level of DFT.

Its polymorph energy (0 for the lowest one) is 0 meV per atom.

```
data_NbGeSe3
_cell_length_a 3.5744
_cell_length_b 11.0143
_cell_length_c 14.5827
_cell_angle_alpha 90.00
_cell_angle_beta 90.00
_cell_angle_gamma 90.00
_symmetry_space_group_name_H-M 'P 1'
_symmetry_Int_Tables_number 1
loop_
_symmetry_equiv_pos_as_xyz
'x,y,z'
loop_
_atom_site_label
_atom_site_fract_x
_atom_site_fract_y
_atom_site_fract_z
Nb1 0.7500 0.4039 0.5592
Nb2 0.2500 0.9039 0.9408
Nb3 0.2500 0.5961 0.4408
Nb4 0.7500 0.0961 0.0592
Ge1 0.2500 0.1818 0.6982
Ge2 0.7500 0.6818 0.8018
Ge3 0.7500 0.8182 0.3018
Ge4 0.2500 0.3182 0.1982
Se1 0.2500 0.3622 0.4314
Se2 0.7500 0.8622 0.0686
Se3 0.7500 0.6378 0.5686
Se4 0.2500 0.1378 0.9314
Se5 0.7500 0.1580 0.5784
Se6 0.2500 0.6580 0.9216
Se7 0.2500 0.8420 0.4216
Se8 0.7500 0.3420 0.0784
Se9 0.2500 0.4134 0.6941
Se10 0.7500 0.9134 0.8059
Se11 0.7500 0.5866 0.3059
Se12 0.2500 0.0866 0.1941
```

Entry 9:
Computed, not measured: a relaxed structure of YNbGeSe2 at the PBE level of DFT.

```
data_YNbGeSe2
_cell_length_a 5.2764
_cell_length_b 5.3000
_cell_length_c 5.2764
_cell_angle_alpha 90.00
_cell_angle_beta 90.00
_cell_angle_gamma 90.00
_symmetry_space_group_name_H-M 'P 1'
_symmetry_Int_Tables_number 1
loop_
_symmetry_equiv_pos_as_xyz
'x,y,z'
loop_
_atom_site_label
_atom_site_fract_x
_atom_site_fract_y
_atom_site_fract_z
Y1 0.0000 0.0000 0.0000
Nb1 0.5000 0.5000 0.5000
Ge1 0.0000 0.5000 0.0000
Se1 0.0000 0.0000 0.5000
Se2 0.5000 0.0000 0.0000
```

Entry 10:
Computed, not measured: a relaxed structure of NbZnGeSe at the PBE level of DFT.

Its polymorph energy (0 for the lowest one) is 34 meV per atom.

```
data_NbZnGeSe
_cell_length_a 3.3828
_cell_length_b 3.8283
_cell_length_c 12.7294
_cell_angle_alpha 90.00
_cell_angle_beta 96.61
_cell_angle_gamma 90.00
_symmetry_space_group_name_H-M 'P 1'
_symmetry_Int_Tables_number 1
loop_
_symmetry_equiv_pos_as_xyz
'x,y,z'
loop_
_atom_site_label
_atom_site_fract_x
_atom_site_fract_y
_atom_site_fract_z
Zn1 0.6688 0.0000 0.6724
Zn2 0.6688 0.5000 0.1724
Nb1 0.9689 0.0000 0.8821
Nb2 0.9689 0.5000 0.3821
Ge1 0.4570 0.0000 0.3269
Ge2 0.4570 0.5000 0.8269
Se1 0.5417 0.0000 0.0412
Se2 0.5417 0.5000 0.5412
```

Entry 11:
Computed, not measured: a relaxed structure of NbZnGeSe at the PBE level of DFT.

Its polymorph energy (0 for the lowest one) is 87 meV per atom.

```
data_NbZnGeSe
_cell_length_a 5.6544
_cell_length_b 3.5202
_cell_length_c 9.3199
_cell_angle_alpha 90.00
_cell_angle_beta 125.78
_cell_angle_gamma 90.00
_symmetry_space_group_name_H-M 'P 1'
_symmetry_Int_Tables_number 1
loop_
_symmetry_equiv_pos_as_xyz
'x,y,z'
loop_
_atom_site_label
_atom_site_fract_x
_atom_site_fract_y
_atom_site_fract_z
Zn1 0.6276 0.0000 0.9814
Zn2 0.6276 0.5000 0.4814
Nb1 0.2177 0.0000 0.4517
Nb2 0.2177 0.5000 0.9517
Ge1 0.7765 0.0000 0.7434
Ge2 0.7765 0.5000 0.2434
Se1 0.1863 0.0000 0.1502
Se2 0.1863 0.5000 0.6502
```

Entry 12:
Computed, not measured: a relaxed structure of NbZnGeSe at the PBE level of DFT.

Its polymorph energy (0 for the lowest one) is 127 meV per atom.

```
data_NbZnGeSe
_cell_length_a 3.6846
_cell_length_b 3.7050
_cell_length_c 6.1374
_cell_angle_alpha 90.00
_cell_angle_beta 95.15
_cell_angle_gamma 90.00
_symmetry_space_group_name_H-M 'P 1'
_symmetry_Int_Tables_number 1
loop_
_symmetry_equiv_pos_as_xyz
'x,y,z'
loop_
_atom_site_label
_atom_site_fract_x
_atom_site_fract_y
_atom_site_fract_z
Zn1 0.0851 0.0000 0.0866
Nb1 0.9997 0.5000 0.7270
Ge1 0.4979 0.0000 0.7222
Se1 0.8988 0.5000 0.3093
```

Across the entries above, M_tot takes the values 0.00; 0.15; 0.00; 0.00; 0.00; 1.96; 0.00; 0.00; 0.11; 0.00; 0.00; 0.00 μB/f.u., respectively.
Across the entries above, raw total energy takes the values -53.01; -21.75; -29.36; -20.93; -32.21; -22.09; -57.81; -111.65; -24.71; -40.67; -40.24; -19.96 eV for the cell shown, respectively.